[1]
The following is a DFT calculation (PBE-GGA) of crystalline MgNbTl3 at its relaxed geometry.

Calculated values
D(E_F): 5.820 states/eV per cell
energy of formation from the pure elements: 0.6701 eV per atom
calculated total energy: -0.227 Ry per atom

Structure (CIF):
```
data_MgNbTl3
_cell_length_a 5.522
_cell_length_b 5.522
_cell_length_c 5.522
_cell_angle_alpha 90.00
_cell_angle_beta 90.00
_cell_angle_gamma 90.00
_symmetry_space_group_name_H-M 'P m -3 m'
_symmetry_Int_Tables_number 221
_symmetry_space_group_name_Hall '-P 4 2 3'
loop_
_atom_site_label
_atom_site_type_symbol
_atom_site_fract_x
_atom_site_fract_y
_atom_site_fract_z
Mg1 Mg 0.000 0.000 0.000
Nb1 Nb 0.500 0.500 0.500
Tl1 Tl 0.000 0.500 0.500
```


[2]
The following is a DFT calculation (PBE-GGA) of crystalline YLuRh at its relaxed geometry.

Calculated values
D(E_F): 11.272 states/eV per cell
energy of formation from the pure elements: -0.6128 eV per atom
calculated total energy: -0.494 Ry per atom

Structure (CIF):
```
data_YLuRh
_cell_length_a 6.744
_cell_length_b 6.744
_cell_length_c 6.744
_cell_angle_alpha 90.00
_cell_angle_beta 90.00
_cell_angle_gamma 90.00
_symmetry_space_group_name_H-M 'F -4 3 m'
_symmetry_Int_Tables_number 216
_symmetry_space_group_name_Hall 'F -4 2 3'
loop_
_atom_site_label
_atom_site_type_symbol
_atom_site_fract_x
_atom_site_fract_y
_atom_site_fract_z
Y1 Y 0.000 0.000 0.000
Lu1 Lu 0.000 0.000 0.500
Rh1 Rh 0.250 0.250 0.250
```


[3]
The following is a DFT calculation (PBE-GGA) of crystalline NaTbPb at its relaxed geometry.

Calculated values
D(E_F): 8.714 states/eV per cell
energy of formation from the pure elements: -0.1268 eV per atom
calculated total energy: -0.246 Ry per atom

Structure (CIF):
```
data_NaTbPb
_cell_length_a 5.1844
_cell_length_b 5.1844
_cell_length_c 26.6167
_cell_angle_alpha 90.00
_cell_angle_beta 90.00
_cell_angle_gamma 120.00
_symmetry_space_group_name_H-M 'R -3 m'
_symmetry_Int_Tables_number 166
_symmetry_space_group_name_Hall '-R 3 2"'
loop_
_atom_site_label
_atom_site_type_symbol
_atom_site_fract_x
_atom_site_fract_y
_atom_site_fract_z
Na1 Na 0.0000 0.0000 0.1313
Tb1 Tb 0.0000 0.0000 0.2889
Pb1 Pb 0.0000 0.0000 0.4131
```


[4]
The following is a DFT calculation (PBE-GGA) of crystalline DyErNiPt at its relaxed geometry.

Calculated values
D(E_F): 5.486 states/eV per cell
energy of formation from the pure elements: -0.8894 eV per atom
calculated total energy: -0.451 Ry per atom

Structure (CIF):
```
data_DyErNiPt
_cell_length_a 4.305
_cell_length_b 3.803
_cell_length_c 10.277
_cell_angle_alpha 90.00
_cell_angle_beta 90.00
_cell_angle_gamma 90.00
_symmetry_space_group_name_H-M 'A m m 2'
_symmetry_Int_Tables_number 38
loop_
_symmetry_equiv_pos_as_xyz
'x,y,z'
'-x,-y,z'
'-x,y,z'
'x,-y,z'
'x,y+1/2,z+1/2'
'-x,-y+1/2,z+1/2'
'-x,y+1/2,z+1/2'
'x,-y+1/2,z+1/2'
loop_
_atom_site_label
_atom_site_type_symbol
_atom_site_fract_x
_atom_site_fract_y
_atom_site_fract_z
Dy1 Dy 0.000 0.000 0.000
Er1 Er 0.500 0.000 0.281
Ni1 Ni 0.000 0.000 0.722
Pt1 Pt 0.500 0.000 0.564
```


[5]
The following is a DFT calculation (PBE-GGA) of crystalline Ac8Rh3Pb2 at its relaxed geometry.

Calculated values
D(E_F): 17.383 states/eV per cell
energy of formation from the pure elements: -0.4726 eV per atom
calculated total energy: -0.387 Ry per atom

Structure (CIF):
```
data_Ac8Rh3Pb2
_cell_length_a 16.892
_cell_length_b 8.644
_cell_length_c 7.565
_cell_angle_alpha 90.00
_cell_angle_beta 107.29
_cell_angle_gamma 90.00
_symmetry_space_group_name_H-M 'C 1 2/m 1'
_symmetry_Int_Tables_number 12
loop_
_symmetry_equiv_pos_as_xyz
'x,y,z'
'-x,-y,-z'
'-x,y,-z'
'x,-y,z'
'x+1/2,y+1/2,z'
'-x+1/2,-y+1/2,-z'
'-x+1/2,y+1/2,-z'
'x+1/2,-y+1/2,z'
loop_
_atom_site_label
_atom_site_type_symbol
_atom_site_fract_x
_atom_site_fract_y
_atom_site_fract_z
Ac1 Ac 0.103 0.239 0.395
Ac2 Ac 0.104 0.000 0.903
Ac3 Ac 0.110 0.500 0.942
Rh1 Rh 0.000 0.000 0.500
Rh2 Rh 0.000 0.252 0.000
Pb1 Pb 0.241 0.500 0.668
```


[6]
The following is a DFT calculation (PBE-GGA) of crystalline La4Bi2TeP at its relaxed geometry.

Calculated values
D(E_F): 2.364 states/eV per cell
raw formation energy: -10.51 eV/f.u.
calculated total energy: -0.427 Ry per atom

Structure (CIF):
```
data_La4Bi2TeP
_cell_length_a 7.898
_cell_length_b 4.555
_cell_length_c 7.936
_cell_angle_alpha 90.00
_cell_angle_beta 109.28
_cell_angle_gamma 90.00
_symmetry_space_group_name_H-M 'P 1 2/m 1'
_symmetry_Int_Tables_number 10
loop_
_symmetry_equiv_pos_as_xyz
'x,y,z'
'-x,-y,-z'
'-x,y,-z'
'x,-y,z'
loop_
_atom_site_label
_atom_site_type_symbol
_atom_site_fract_x
_atom_site_fract_y
_atom_site_fract_z
La1 La 0.231 0.000 0.230
La2 La 0.240 0.500 0.762
Bi1 Bi 0.500 0.000 0.000
Bi2 Bi 0.500 0.500 0.500
Te1 Te 0.000 0.000 0.500
P1 P 0.000 0.500 0.000
```